(1)
Compound: Li2MoBr
Source: Alexandria
Functional: GGA-PBE
Structure: optimized geometry

```
data_Li2MoBr
_chemical_formula_sum 'Li6 Mo3 Br3'
_cell_length_a 3.1068
_cell_length_b 3.1068
_cell_length_c 27.1610
_cell_angle_alpha 90.00
_cell_angle_beta 90.00
_cell_angle_gamma 120.00
_symmetry_space_group_name_H-M 'R 3 m'
_symmetry_Int_Tables_number 160
_symmetry_space_group_name_Hall 'R 3 -2"'
loop_
_atom_site_label
_atom_site_fract_x
_atom_site_fract_y
_atom_site_fract_z
_atom_site_occupancy
Li1 0.0000 0.0000 0.0000 1
Li2 0.0000 0.0000 0.2407 1
Mo1 0.0000 0.0000 0.7517 1
Br1 0.0000 0.0000 0.4893 1
```

## Properties
magnetic moment	0.00	Bohr magnetons per cell
energy relative to the elements, uncorrected	0.2743	eV per atom
VASP energy	-3.81	eV per atom

=====

(2)
Compound: LiMoBr6
Source: Alexandria
Functional: GGA-PBE
Structure: optimized geometry

```
data_LiMoBr6
_chemical_formula_sum 'Li3 Mo3 Br18'
_cell_length_a 6.6500
_cell_length_b 6.6500
_cell_length_c 17.8121
_cell_angle_alpha 90.00
_cell_angle_beta 90.00
_cell_angle_gamma 120.00
_symmetry_space_group_name_H-M 'R -3'
_symmetry_Int_Tables_number 148
_symmetry_space_group_name_Hall '-R 3'
loop_
_atom_site_label
_atom_site_fract_x
_atom_site_fract_y
_atom_site_fract_z
_atom_site_occupancy
Li1 0.0000 0.0000 0.0000 1
Mo1 0.0000 0.0000 0.5000 1
Br1 0.0012 0.3113 0.4193 1
```

## Properties
magnetic moment	3.00	Bohr magnetons per cell
energy relative to the elements, uncorrected	-0.6677	eV per atom
VASP energy	-3.52	eV per atom

=====

> Number 1 is which compound?

Li2MoBr